{
  "formula": "KRb2Cr",
  "functional": "PBE-GGA",
  "state": "relaxed",
  "lattice": [[9.638, 0.000, 0.000], [0.000, 9.638, 0.000], [0.000, 0.000, 9.638]],
  "species": ["K", "K", "K", "K", "Rb", "Rb", "Rb", "Rb", "Rb", "Rb", "Rb", "Rb", "Cr", "Cr", "Cr", "Cr"],
  "frac_coords": [[0.000, 0.000, 0.000], [0.000, 0.500, 0.500], [0.500, 0.000, 0.500], [0.500, 0.500, 0.000], [0.250, 0.250, 0.250], [0.250, 0.250, 0.750], [0.250, 0.750, 0.250], [0.250, 0.750, 0.750], [0.750, 0.250, 0.250], [0.750, 0.250, 0.750], [0.750, 0.750, 0.250], [0.750, 0.750, 0.750], [0.000, 0.000, 0.500], [0.000, 0.500, 0.000], [0.500, 0.000, 0.000], [0.500, 0.500, 0.500]],
  "total_energy_ev_per_atom": -2.49,
  "e_above_lowest_polymorph_mev_per_atom": 0,
  "spacegroup": "Fm-3m (225)"
}